PmCuGeSb: optimized geometry, PBE-GGA.

The space group is F-43m (No. 216) and the conventional cell measures 7.089, 7.089 and 7.089 Å, with angles of 90.00, 90.00 and 90.00 degrees. The asymmetric unit holds Pm at (0.000, 0.000, 0.000), Cu at (0.250, 0.250, 0.750), Ge at (0.250, 0.250, 0.250) and Sb at (0.000, 0.000, 0.500).

The value obtained for the density is 7.51 g/cm³. Its crystal system is cubic. The calculation puts the formation energy without anion corrections at -0.158 eV per atom.